14
Lattice="-5.252 -5.062 2.015 4.266 1.889 5.958 -3.275 6.319 -2.569" Properties=species:S:1:pos:R:3 comment="Nd5CuSe8 (SCAN, single point on PBEsol structure)" space_group="I-4 (82)" crystal_system=tetragonal vol_a3_per_atom=23.808 formation_energy_uncorrected_mev_per_atom=-1858 total_magnetization_mub_per_atom=0.000 pbc="T T T"
Nd -2.615 -1.953 2.391
Nd -0.246 0.466 4.834
Se -3.052 4.935 -0.236
Se -2.628 0.506 0.496
Se -1.290 -2.453 5.365
Nd -1.907 2.938 2.120
Se -2.964 0.596 3.806
Cu 0.000 0.000 0.000
Se -1.553 3.305 5.182
Se 0.811 1.907 2.538
Nd 1.459 4.227 4.218
Nd -5.460 1.081 2.078
Se -0.929 5.605 2.859
Se -5.442 -1.816 1.604



4
Lattice="3.577 0.000 0.000 -1.788 3.103 -0.002 0.000 -0.900 7.463" Properties=species:S:1:pos:R:3 comment="GeH2Se (SCAN, single point on PBEsol structure)" energy_ev_per_cell=-46.30 space_group="Cm (8)" crystal_system=monoclinic vol_a3_per_atom=20.710 total_magnetization_mub_per_atom=0.000 pbc="T T T"
Ge 0.000 1.170 4.741
Se 1.788 2.203 3.289
H 1.788 -0.525 7.457
H 1.788 0.801 0.629



4
Lattice="3.374 0.000 0.000 1.687 2.922 0.000 1.687 0.974 7.605" Properties=species:S:1:pos:R:3 comment="BePdBr2 (SCAN, single point on PBEsol structure)" space_group="R-3m (166)" crystal_system=trigonal vol_a3_per_atom=18.740 formation_energy_uncorrected_mev_per_atom=-152 total_magnetization_mub_per_atom=0.000 pbc="T T T"
Br 1.687 0.974 5.176
Br 5.060 2.922 2.430
Pd 0.000 0.000 0.000
Be 3.374 1.948 3.803



6
Lattice="-3.315 1.261 1.992 -0.014 -3.597 -1.899 2.625 -3.478 6.570" Properties=species:S:1:pos:R:3 comment="LaHSe (SCAN, single point on PBEsol structure)" energy_ev_per_cell=-143.73 space_group="P6_3/mmc (194)" crystal_system=hexagonal vol_a3_per_atom=18.830 total_magnetization_mub_per_atom=0.000 pbc="T T T"
Se 0.000 0.000 0.000
H -0.458 -2.847 1.040
La -1.558 -1.228 2.338
H -0.245 -2.967 5.622
La 0.855 -4.587 4.325
Se 1.313 -1.739 3.285



4
Lattice="-2.600 -1.451 0.675 -0.554 -0.899 -4.067 2.391 -4.022 0.563" Properties=species:S:1:pos:R:3 comment="TcAg2Ru (SCAN, single point on PBEsol structure)" e_form_mev_per_atom=664.3 space_group="Pmmm (47)" crystal_system=orthorhombic vol_a3_per_atom=15.116 total_magnetization_mub_per_atom=0.000 e_above_lowest_polymorph_ev_per_atom=0.488 pbc="T T T"
Tc 0.919 -2.460 -1.752
Ru -0.105 -2.737 0.619
Ag 0.000 0.000 0.000
Ag -1.577 -1.175 -1.696



4
Lattice="4.263 0.000 0.000 2.132 3.692 0.000 2.132 1.231 3.481" Properties=species:S:1:pos:R:3 comment="Be2CdMo (SCAN, single point on PBEsol structure)" e_form_mev_per_atom=662.1 space_group="F-43m (216)" crystal_system=cubic vol_a3_per_atom=13.696 total_magnetization_mub_per_atom=0.479 pbc="T T T"
Cd 4.263 2.461 1.740
Mo 2.132 1.231 0.870
Be 0.000 0.000 0.000
Be 6.395 3.692 2.611